Compound: Ac2CuBr
Source: the Alexandria database
Functional: PBE-GGA
Structure: optimized geometry

raw formation energy	-2.638	eV per formula unit
distance to the lowest polymorph of the same formula	0.08	eV/f.u.
space group	R3m
VASP energy	-16.6	eV for the cell shown

Cell: 8.469 8.469 8.469 Å, 30.22 30.22 30.22°
Atoms (fractional coordinates):
Ac: 0.000 0.000 0.000
Ac: 0.195 0.195 0.195
Cu: 0.598 0.598 0.598
Br: 0.430 0.430 0.430